Computed, not measured: an optimized crystal structure of InPtBr2 at the PBE level of DFT.

a b c (Å): 4.2134 4.1801 5.8691
angles (deg): 90.00 91.06 90.00
With the nearest neighbours (Å) after each atom.
Space group P2/m (No. 10)
Symmetry-distinct sites (fractional):
In 0.0000 0.0000 0.0000  6 Br 2.93-2.97
Pt 0.5000 0.5000 0.5000  6 Br 2.93-2.97
Br 0.0000 0.0000 0.5000  2 In 2.93, 4 Pt 2.97
Br 0.5000 0.5000 0.0000  2 Pt 2.93, 4 In 2.97

Output
uncorrected formation energy	4.5	kcal/mol of atoms
energy relative to the lowest polymorph listed for this composition	0.509	eV/atom
volume	103.4	Å³/cell